First-principles (PBE) data for an optimized crystal structure of La2NO, as listed in Alexandria via LeMat-Bulk.

a b c (Å): 5.633 5.633 6.914
angles (deg): 65.96 65.96 90.00
Last column: magnetic moment on the atom in μB.
Element x y z (fractional)
La (0.875, 0.871, 0.750)  0.18
La (0.129, 0.625, 0.250)  0.18
La (0.621, 0.125, 0.250)  0.18
La (0.375, 0.379, 0.750)  0.18
O (0.000, 0.000, 0.000)  -0.01
O (0.750, 0.250, 0.500)  -0.01
N (0.500, 0.500, 0.000)  -0.04
N (0.250, 0.750, 0.500)  -0.04

Results
* energy above the most stable polymorph in this dataset: 0.2129 eV/atom
* SG: No. 122
* energy relative to the elements, uncorrected: -189.0 kJ per mole of atoms

***

First-principles (PBE) data for an optimized crystal structure of La4N2O3, as listed in Alexandria via LeMat-Bulk.

a b c (Å): 3.708 6.405 7.973
angles (deg): 81.14 76.55 73.17
Element x y z (fractional)
La (0.750, 0.164, 0.336)
La (0.419, 0.278, 0.884)
La (0.581, 0.722, 0.116)
La (0.250, 0.836, 0.664)
N (0.359, 0.924, 0.358)
N (0.641, 0.076, 0.642)
O (0.000, 0.000, 0.000)
O (0.813, 0.544, 0.830)
O (0.187, 0.456, 0.170)

Results
* SG: No. 12
* energy relative to the elements, uncorrected: -233.6 kJ per mole of atoms

***

Question: Look up the energy relative to the elements, uncorrected of the second one.
Answer: -233.6 kJ per mole of atoms

***

Question: Which value of energy relative to the elements, uncorrected does entry 1 give?
Answer: -189.0 kJ per mole of atoms

***

Question: Which of these has the lowest energy relative to the elements, uncorrected?
Answer: La4N2O3